VASP calculation (PBE-GGA) on Na2HI after structural relaxation.

Results
- excess energy over the best structure of this formula in the dataset (meV per atom) = 271
- DFT total energy (eV/atom) = -2.332
- total magnetization (Bohr magnetons per cell) = 0.000
- ρ (g/cm³) = 2.927

Structure (POSCAR):
```
Na2HI
1.0
0.000 3.667 3.667
3.667 0.000 3.667
3.667 3.667 0.000
H I Na
1 1 2
direct
0.000 0.000 0.000 H
0.500 0.500 0.500 I
0.750 0.750 0.750 Na
0.250 0.250 0.250 Na
```